Entry 1:
Below is an optimized crystal structure of CdNiAu2, with properties calculated at the GGA-PBE level.

It has space group Cm (No. 8), with a = 9.5413 Å, b = 3.0982 Å, c = 4.7702 Å, α = 90.00°, β = 106.05° and γ = 90.00°. The inequivalent atoms are Cd at (0.0000, 0.0000, 0.0000), Ni at (0.2602, 0.0000, 0.7508), Au at (0.0269, 0.5000, 0.5265) and Au at (0.2634, 0.5000, 0.2585).

The energy of formation is 0.01 eV per atom. The calculation puts the calculated volume at 135.5 Å³/cell.

---

Entry 2:
Below is an optimized crystal structure of PmBeP, with properties calculated at the GGA-PBE level.

It has space group P-6m2 (No. 187), with a = 3.7446 Å, b = 3.7446 Å, c = 4.2280 Å, α = 90.00°, β = 90.00° and γ = 120.00°. The inequivalent atoms are Pm at (0.0000, 0.0000, 0.0000), Be at (0.6667, 0.3333, 0.5000) and P at (0.3333, 0.6667, 0.5000).

The energy of formation is -1.00 eV per atom. The distance to the lowest polymorph of the same formula is 0.000 eV per atom. The calculation puts the calculated volume at 51.3 Å³/cell.

---

Entry 3:
Below is an optimized crystal structure of BeNbTl2Tc, with properties calculated at the GGA-PBE level.

It has space group P4/mmm (No. 123), with a = 5.6144 Å, b = 5.6144 Å, c = 4.6363 Å, α = 90.00°, β = 90.00° and γ = 90.00°. The inequivalent atoms are Be at (0.0000, 0.0000, 0.0000), Nb at (0.5000, 0.5000, 0.5000), Tl at (0.0000, 0.5000, 0.5000) and Tc at (0.5000, 0.5000, 0.0000).

The energy of formation is 1.55 eV per atom. The calculation puts the calculated volume at 146.1 Å³/cell.

---

Entry 4:
Below is an optimized crystal structure of Ti2TeMoN, with properties calculated at the GGA-PBE level.

It has space group P4/mmm (No. 123), with a = 4.1741 Å, b = 4.1741 Å, c = 4.2319 Å, α = 90.00°, β = 90.00° and γ = 90.00°. The inequivalent atoms are Ti at (0.0000, 0.5000, 0.0000), Te at (0.0000, 0.0000, 0.5000), Mo at (0.5000, 0.5000, 0.5000) and N at (0.5000, 0.5000, 0.0000).

The calculation puts the calculated volume at 73.7 Å³/cell. For the uncorrected formation energy, the calculation gives -2.65 eV per formula unit.

---

Entry 5:
Below is an optimized crystal structure of Al4ZnGa, with properties calculated at the GGA-PBE level.

It has space group P2_1/m (No. 11), with a = 4.7739 Å, b = 6.0476 Å, c = 6.9375 Å, α = 90.00°, β = 90.84° and γ = 90.00°. The inequivalent atoms are Al at (0.0002, 0.2500, 0.9999), Al at (0.1684, 0.0003, 0.6690), Al at (0.3308, 0.2500, 0.3305), Zn at (0.5000, 0.0000, 0.0000) and Ga at (0.3337, 0.7500, 0.3336).

The energy of formation is 0.03 eV per atom. The distance to the lowest polymorph of the same formula is 0.000 eV per atom. The calculation puts the calculated volume at 200.3 Å³/cell.

---

Entry 6:
Below is an optimized crystal structure of Tl2TePb, with properties calculated at the GGA-PBE level.

It has space group Pmmm (No. 47), with a = 4.6766 Å, b = 4.8300 Å, c = 5.7446 Å, α = 90.00°, β = 90.00° and γ = 90.00°. The inequivalent atoms are Tl at (0.0000, 0.0000, 0.0000), Tl at (0.5000, 0.5000, 0.0000), Te at (0.0000, 0.5000, 0.5000) and Pb at (0.5000, 0.0000, 0.5000).

The distance to the lowest polymorph of the same formula is 0.011 eV per atom. The calculation puts the calculated volume at 129.8 Å³/cell. For the uncorrected formation energy, the calculation gives -0.55 eV per formula unit.

---

Entry 7:
Below is an optimized crystal structure of ZrMo, with properties calculated at the GGA-PBE level.

It has space group Pnma (No. 62), with a = 11.2299 Å, b = 5.3654 Å, c = 5.3422 Å, α = 90.00°, β = 90.00° and γ = 90.00°. The inequivalent atoms are Zr at (0.0694, 0.2500, 0.0042), Zr at (0.2157, 0.7500, 0.1857), Mo at (0.0000, 0.0000, 0.5000) and Mo at (0.1618, 0.7500, 0.7048).

The energy of formation is 0.19 eV per atom. The distance to the lowest polymorph of the same formula is 0.234 eV per atom. The calculation puts the calculated volume at 321.9 Å³/cell.

---

Entry 8:
Below is an optimized crystal structure of Tb7Tl5Cd, with properties calculated at the GGA-PBE level.

It has space group Imm2 (No. 44), with a = 6.6693 Å, b = 10.7227 Å, c = 10.7200 Å, α = 90.00°, β = 90.00° and γ = 90.00°. The inequivalent atoms are Tb at (0.0000, 0.0000, 0.0000), Tb at (0.0000, 0.0000, 0.3575), Tb at (0.0000, 0.3192, 0.6148), Tb at (0.0000, 0.3255, 0.0967), Tb at (0.0000, 0.5000, 0.3458), Tl at (0.0000, 0.5000, 0.8529), Tl at (0.2441, 0.2353, 0.8574) and Cd at (0.0000, 0.0000, 0.6648).

The energy of formation is -0.15 eV per atom. The calculation puts the calculated volume at 766.6 Å³/cell.

---

Calculated values (μB/f.u.) of magnetic moment for the records, taken in order: 0.00 0.00 0.92 0.00 0.00 0.00 0.00 0.00.